Entry 1:
Density functional theory data (PBE) for a relaxed structure of ErPaRhO6.

Cell and atoms, written as CIF:
```
data_ErPaRhO6
_chemical_formula_sum 'Er1 Pa1 Rh1 O6'
_cell_length_a 5.3506
_cell_length_b 5.3506
_cell_length_c 4.8995
_cell_angle_alpha 90.00
_cell_angle_beta 90.00
_cell_angle_gamma 120.00
_space_group_name_H-M_alt 'P 1'
_space_group_IT_number 1
loop_
_space_group_symop_operation_xyz
'x,y,z'
loop_
_atom_site_label
_atom_site_fract_x
_atom_site_fract_y
_atom_site_fract_z
Er1 0.0000 0.0000 0.0000
Pa1 0.6667 0.3333 0.5000
Rh1 0.3333 0.6667 0.0000
O1 0.0138 0.3624 0.2382
O2 0.0138 0.6514 0.7618
O3 0.3486 0.3624 0.7618
O4 0.3486 0.9862 0.2382
O5 0.6376 0.6514 0.2382
O6 0.6376 0.9862 0.7618
```

Entry 2:
Density functional theory data (PBE) for a relaxed structure of Er2PaRuO8.

Cell and atoms, written as CIF:
```
data_Er2PaRuO8
_chemical_formula_sum 'Er2 Pa1 Ru1 O8'
_cell_length_a 4.9973
_cell_length_b 4.9973
_cell_length_c 6.7344
_cell_angle_alpha 90.00
_cell_angle_beta 90.00
_cell_angle_gamma 91.41
_space_group_name_H-M_alt 'P 1'
_space_group_IT_number 1
loop_
_space_group_symop_operation_xyz
'x,y,z'
loop_
_atom_site_label
_atom_site_fract_x
_atom_site_fract_y
_atom_site_fract_z
Er1 0.0000 0.0000 0.2401
Er2 0.0000 0.0000 0.7599
Pa1 0.5000 0.5000 0.5000
Ru1 0.5000 0.5000 0.0000
O1 0.1978 0.1978 0.5000
O2 0.2199 0.2199 0.0000
O3 0.3177 0.6823 0.2299
O4 0.3177 0.6823 0.7701
O5 0.6823 0.3177 0.2299
O6 0.6823 0.3177 0.7701
O7 0.7801 0.7801 0.0000
O8 0.8022 0.8022 0.5000
```

Entry 3:
Density functional theory data (PBE) for a relaxed structure of ErPaRuO6.

Cell and atoms, written as CIF:
```
data_ErPaRuO6
_chemical_formula_sum 'Er2 Pa2 Ru2 O12'
_cell_length_a 5.4371
_cell_length_b 5.4371
_cell_length_c 9.7250
_cell_angle_alpha 90.00
_cell_angle_beta 90.00
_cell_angle_gamma 120.00
_space_group_name_H-M_alt 'P 1'
_space_group_IT_number 1
loop_
_space_group_symop_operation_xyz
'x,y,z'
loop_
_atom_site_label
_atom_site_fract_x
_atom_site_fract_y
_atom_site_fract_z
Er1 0.0000 0.0000 0.0000
Er2 0.0000 0.0000 0.5000
Pa1 0.3333 0.6667 0.2500
Pa2 0.6667 0.3333 0.7500
Ru1 0.3333 0.6667 0.7500
Ru2 0.6667 0.3333 0.2500
O1 0.0235 0.3546 0.6346
O2 0.0235 0.6688 0.8654
O3 0.3312 0.3546 0.8654
O4 0.3312 0.9765 0.6346
O5 0.3546 0.0235 0.1346
O6 0.3546 0.3312 0.3654
O7 0.6454 0.6688 0.6346
O8 0.6454 0.9765 0.8654
O9 0.6688 0.0235 0.3654
O10 0.6688 0.6454 0.1346
O11 0.9765 0.3312 0.1346
O12 0.9765 0.6454 0.3654
```

Entry 4:
Density functional theory data (PBE) for a relaxed structure of ErPaSbO6.

Cell and atoms, written as CIF:
```
data_ErPaSbO6
_chemical_formula_sum 'Er2 Pa2 Sb2 O12'
_cell_length_a 5.5883
_cell_length_b 5.5883
_cell_length_c 9.6281
_cell_angle_alpha 90.00
_cell_angle_beta 90.00
_cell_angle_gamma 120.00
_space_group_name_H-M_alt 'P 1'
_space_group_IT_number 1
loop_
_space_group_symop_operation_xyz
'x,y,z'
loop_
_atom_site_label
_atom_site_fract_x
_atom_site_fract_y
_atom_site_fract_z
Er1 0.3333 0.6667 0.2500
Er2 0.6667 0.3333 0.7500
Pa1 0.0000 0.0000 0.0000
Pa2 0.0000 0.0000 0.5000
Sb1 0.3333 0.6667 0.7500
Sb2 0.6667 0.3333 0.2500
O1 0.0150 0.3361 0.6293
O2 0.0150 0.6788 0.8707
O3 0.3212 0.3361 0.8707
O4 0.3212 0.9850 0.6293
O5 0.3361 0.0150 0.1293
O6 0.3361 0.3212 0.3707
O7 0.6639 0.6788 0.6293
O8 0.6639 0.9850 0.8707
O9 0.6788 0.0150 0.3707
O10 0.6788 0.6639 0.1293
O11 0.9850 0.3212 0.1293
O12 0.9850 0.6639 0.3707
```

Entry 5:
Density functional theory data (PBE) for a relaxed structure of ErPaSb2O8.

Cell and atoms, written as CIF:
```
data_ErPaSb2O8
_chemical_formula_sum 'Er1 Pa1 Sb2 O8'
_cell_length_a 6.2095
_cell_length_b 6.2095
_cell_length_c 6.2095
_cell_angle_alpha 109.38
_cell_angle_beta 109.38
_cell_angle_gamma 109.65
_space_group_name_H-M_alt 'P 1'
_space_group_IT_number 1
loop_
_space_group_symop_operation_xyz
'x,y,z'
loop_
_atom_site_label
_atom_site_fract_x
_atom_site_fract_y
_atom_site_fract_z
Er1 0.0000 0.0000 0.0000
Pa1 0.2500 0.7500 0.5000
Sb1 0.5000 0.5000 0.0000
Sb2 0.7500 0.2500 0.5000
O1 0.2814 0.0813 0.7999
O2 0.2814 0.4815 0.2001
O3 0.3732 0.0597 0.3135
O4 0.5185 0.7186 0.7999
O5 0.7462 0.0597 0.6865
O6 0.9187 0.7186 0.2001
O7 0.9403 0.2538 0.3135
O8 0.9403 0.6268 0.6865
```

Entry 6:
Density functional theory data (PBE) for a relaxed structure of ErScPaO6.

Cell and atoms, written as CIF:
```
data_ErScPaO6
_chemical_formula_sum 'Er1 Sc1 Pa1 O6'
_cell_length_a 5.5721
_cell_length_b 5.5721
_cell_length_c 4.6901
_cell_angle_alpha 90.00
_cell_angle_beta 90.00
_cell_angle_gamma 120.00
_space_group_name_H-M_alt 'P 1'
_space_group_IT_number 1
loop_
_space_group_symop_operation_xyz
'x,y,z'
loop_
_atom_site_label
_atom_site_fract_x
_atom_site_fract_y
_atom_site_fract_z
Er1 0.0000 0.0000 0.0000
Sc1 0.3333 0.6667 0.0000
Pa1 0.6667 0.3333 0.5000
O1 0.0017 0.3483 0.2403
O2 0.0017 0.6533 0.7597
O3 0.3467 0.3483 0.7597
O4 0.3467 0.9983 0.2403
O5 0.6517 0.6533 0.2403
O6 0.6517 0.9983 0.7597
```

Entry 7:
Density functional theory data (PBE) for a relaxed structure of ErPaSe2O.

Cell and atoms, written as CIF:
```
data_ErPaSe2O
_chemical_formula_sum 'Er2 Pa2 Se4 O2'
_cell_length_a 3.9264
_cell_length_b 3.9264
_cell_length_c 13.8708
_cell_angle_alpha 90.00
_cell_angle_beta 90.00
_cell_angle_gamma 90.00
_space_group_name_H-M_alt 'P 1'
_space_group_IT_number 1
loop_
_space_group_symop_operation_xyz
'x,y,z'
loop_
_atom_site_label
_atom_site_fract_x
_atom_site_fract_y
_atom_site_fract_z
Er1 0.2500 0.2500 0.0963
Er2 0.7500 0.7500 0.9037
Pa1 0.2500 0.2500 0.5949
Pa2 0.7500 0.7500 0.4051
Se1 0.2500 0.2500 0.3068
Se2 0.2500 0.2500 0.8867
Se3 0.7500 0.7500 0.1133
Se4 0.7500 0.7500 0.6932
O1 0.2500 0.7500 0.5000
O2 0.7500 0.2500 0.5000
```

Entry 8:
Density functional theory data (PBE) for a relaxed structure of Er2PaSeO8.

Cell and atoms, written as CIF:
```
data_Er2PaSeO8
_chemical_formula_sum 'Er2 Pa1 Se1 O8'
_cell_length_a 4.9614
_cell_length_b 4.9614
_cell_length_c 6.7914
_cell_angle_alpha 90.00
_cell_angle_beta 90.00
_cell_angle_gamma 91.78
_space_group_name_H-M_alt 'P 1'
_space_group_IT_number 1
loop_
_space_group_symop_operation_xyz
'x,y,z'
loop_
_atom_site_label
_atom_site_fract_x
_atom_site_fract_y
_atom_site_fract_z
Er1 0.0000 0.0000 0.2392
Er2 0.0000 0.0000 0.7608
Pa1 0.5000 0.5000 0.5000
Se1 0.5000 0.5000 0.0000
O1 0.1961 0.1961 0.5000
O2 0.2227 0.2227 0.0000
O3 0.3186 0.6814 0.2268
O4 0.3186 0.6814 0.7732
O5 0.6814 0.3186 0.2268
O6 0.6814 0.3186 0.7732
O7 0.7773 0.7773 0.0000
O8 0.8039 0.8039 0.5000
```

Entry 9:
Density functional theory data (PBE) for a relaxed structure of Er2PaSiO8.

Cell and atoms, written as CIF:
```
data_Er2PaSiO8
_chemical_formula_sum 'Er2 Pa1 Si1 O8'
_cell_length_a 4.8993
_cell_length_b 4.8993
_cell_length_c 6.5697
_cell_angle_alpha 90.00
_cell_angle_beta 90.00
_cell_angle_gamma 91.02
_space_group_name_H-M_alt 'P 1'
_space_group_IT_number 1
loop_
_space_group_symop_operation_xyz
'x,y,z'
loop_
_atom_site_label
_atom_site_fract_x
_atom_site_fract_y
_atom_site_fract_z
Er1 0.0000 0.0000 0.2327
Er2 0.0000 0.0000 0.7673
Pa1 0.5000 0.5000 0.5000
Si1 0.5000 0.5000 0.0000
O1 0.1953 0.1953 0.5000
O2 0.2409 0.2409 0.0000
O3 0.3226 0.6774 0.2110
O4 0.3226 0.6774 0.7890
O5 0.6774 0.3226 0.2110
O6 0.6774 0.3226 0.7890
O7 0.7591 0.7591 0.0000
O8 0.8047 0.8047 0.5000
```

Entry 10:
Density functional theory data (PBE) for a relaxed structure of ErPaSi2O8.

Cell and atoms, written as CIF:
```
data_ErPaSi2O8
_chemical_formula_sum 'Er1 Pa1 Si2 O8'
_cell_length_a 5.8057
_cell_length_b 5.8057
_cell_length_c 5.8057
_cell_angle_alpha 106.53
_cell_angle_beta 106.53
_cell_angle_gamma 115.54
_space_group_name_H-M_alt 'P 1'
_space_group_IT_number 1
loop_
_space_group_symop_operation_xyz
'x,y,z'
loop_
_atom_site_label
_atom_site_fract_x
_atom_site_fract_y
_atom_site_fract_z
Er1 0.0000 0.0000 0.0000
Pa1 0.7500 0.2500 0.5000
Si1 0.2500 0.7500 0.5000
Si2 0.5000 0.5000 0.0000
O1 0.0754 0.3968 0.3214
O2 0.0754 0.7539 0.6786
O3 0.1476 0.3302 0.8174
O4 0.2461 0.9246 0.3214
O5 0.5128 0.3302 0.1826
O6 0.6032 0.9246 0.6786
O7 0.6698 0.4872 0.8174
O8 0.6698 0.8524 0.1826
```

Entry 11:
Density functional theory data (PBE) for a relaxed structure of SmErPaO6.

Cell and atoms, written as CIF:
```
data_SmErPaO6
_chemical_formula_sum 'Sm1 Er1 Pa1 O6'
_cell_length_a 5.8330
_cell_length_b 5.8330
_cell_length_c 4.6820
_cell_angle_alpha 90.00
_cell_angle_beta 90.00
_cell_angle_gamma 120.00
_space_group_name_H-M_alt 'P 1'
_space_group_IT_number 1
loop_
_space_group_symop_operation_xyz
'x,y,z'
loop_
_atom_site_label
_atom_site_fract_x
_atom_site_fract_y
_atom_site_fract_z
Sm1 0.0000 0.0000 0.0000
Er1 0.3333 0.6667 0.0000
Pa1 0.6667 0.3333 0.5000
O1 0.3550 0.0112 0.2458
O2 0.3550 0.3439 0.7542
O3 0.6561 0.0112 0.7542
O4 0.6561 0.6450 0.2458
O5 0.9888 0.3439 0.2458
O6 0.9888 0.6450 0.7542
```

Entry 12:
Density functional theory data (PBE) for a relaxed structure of ErPaSn2O8.

Cell and atoms, written as CIF:
```
data_ErPaSn2O8
_chemical_formula_sum 'Er1 Pa1 Sn2 O8'
_cell_length_a 6.1488
_cell_length_b 6.1488
_cell_length_c 6.1488
_cell_angle_alpha 108.79
_cell_angle_beta 108.79
_cell_angle_gamma 110.84
_space_group_name_H-M_alt 'P 1'
_space_group_IT_number 1
loop_
_space_group_symop_operation_xyz
'x,y,z'
loop_
_atom_site_label
_atom_site_fract_x
_atom_site_fract_y
_atom_site_fract_z
Er1 0.0000 0.0000 0.0000
Pa1 0.2500 0.7500 0.5000
Sn1 0.5000 0.5000 0.0000
Sn2 0.7500 0.2500 0.5000
O1 0.2999 0.1070 0.8071
O2 0.2999 0.4928 0.1929
O3 0.3560 0.0426 0.3134
O4 0.5072 0.7001 0.8071
O5 0.7293 0.0426 0.6866
O6 0.8930 0.7001 0.1929
O7 0.9574 0.2707 0.3134
O8 0.9574 0.6440 0.6866
```

What calculated density values result from the calculations? In sequence: 8.2; 7.8; 7.9; 7.9; 6.9; 7.1; 8.9; 7.7; 7.6; 6.5; 7.8; 7.1 Mg/m³.
What ΔE_f (raw) values result from the calculations? In sequence: -2.56; -2.78; -2.64; -2.73; -2.33; -3.23; -2.21; -2.62; -3.05; -3.26; -3.19; -2.47 eV per atom.